Computed, not measured: a relaxed Ac2Ga7Au crystal at the PBE-GGA level of DFT.

Computed properties:
space group	No. 115
calculated formation energy	-5.51	eV per formula unit

Unit cell a=4.587 b=4.587 c=10.466 alpha=90.00 beta=90.00 gamma=90.00
Atoms (fractional coordinates):
1 Ac 0.000 0.500 0.247
2 Ac 0.500 0.000 0.753
3 Ga 0.000 0.000 0.000
4 Ga 0.000 0.000 0.500
5 Ga 0.000 0.500 0.628
6 Ga 0.000 0.500 0.872
7 Ga 0.500 0.000 0.128
8 Ga 0.500 0.000 0.372
9 Ga 0.500 0.500 0.500
10 Au 0.500 0.500 0.000